No. 1
The following is a DFT calculation (PBE-GGA) of a relaxed ReIr2Br crystal.

Values from the calculation:
E = -56.9 eV for the cell shown
DOS at the Fermi energy = 7.6 states/eV/cell
crystal system = monoclinic
E above lowest polymorph = 392 meV per atom
M_tot = 0.000 μB/cell

CIF file:
```
data_ReIr2Br
_symmetry_space_group_name_H-M 'C 1 2/m 1'
_symmetry_Int_Tables_number 12
_cell_length_a 9.7214
_cell_length_b 2.8651
_cell_length_c 4.5756
_cell_angle_alpha 90.00
_cell_angle_beta 93.56
_cell_angle_gamma 90.00
loop_
_symmetry_equiv_pos_as_xyz
'x,y,z'
'-x,-y,-z'
'-x,y,-z'
'x,-y,z'
'x+1/2,y+1/2,z'
'-x+1/2,-y+1/2,-z'
'-x+1/2,y+1/2,-z'
'x+1/2,-y+1/2,z'
loop_
_atom_site_label
_atom_site_fract_x
_atom_site_fract_y
_atom_site_fract_z
Re1 0.0000 0.0000 0.0000
Ir1 0.2250 0.5000 0.2328
Br1 0.0000 0.5000 0.5000
```


No. 2
The following is a DFT calculation (PBE-GGA) of a relaxed ReIr2Br crystal.

Values from the calculation:
E = -56.6 eV for the cell shown
DOS at the Fermi energy = 12.4 states/eV/cell
crystal system = orthorhombic
E above lowest polymorph = 436 meV per atom
M_tot = 0.000 μB/cell

CIF file:
```
data_ReIr2Br
_symmetry_space_group_name_H-M 'C m m 2'
_symmetry_Int_Tables_number 35
_cell_length_a 2.7777
_cell_length_b 4.8900
_cell_length_c 9.6889
_cell_angle_alpha 90.00
_cell_angle_beta 90.00
_cell_angle_gamma 90.00
loop_
_symmetry_equiv_pos_as_xyz
'x,y,z'
'-x,-y,z'
'-x,y,z'
'x,-y,z'
'x+1/2,y+1/2,z'
'-x+1/2,-y+1/2,z'
'-x+1/2,y+1/2,z'
'x+1/2,-y+1/2,z'
loop_
_atom_site_label
_atom_site_fract_x
_atom_site_fract_y
_atom_site_fract_z
Re1 0.0000 0.0000 0.0000
Ir1 0.0000 0.0000 0.5312
Ir2 0.0000 0.5000 0.7703
Br1 0.0000 0.5000 0.2609
```


No. 3
The following is a DFT calculation (PBE-GGA) of a relaxed ReIr2Br crystal.

Values from the calculation:
E = -29.1 eV for the cell shown
DOS at the Fermi energy = 3.9 states/eV/cell
crystal system = orthorhombic
E above lowest polymorph = 230 meV per atom
M_tot = 0.405 μB/cell

CIF file:
```
data_ReIr2Br
_symmetry_space_group_name_H-M 'P m m m'
_symmetry_Int_Tables_number 47
_cell_length_a 2.7912
_cell_length_b 3.5303
_cell_length_c 7.3055
_cell_angle_alpha 90.00
_cell_angle_beta 90.00
_cell_angle_gamma 90.00
loop_
_symmetry_equiv_pos_as_xyz
'x,y,z'
'-x,-y,-z'
'-x,-y,z'
'x,y,-z'
'x,-y,-z'
'-x,y,z'
'-x,y,-z'
'x,-y,z'
loop_
_atom_site_label
_atom_site_fract_x
_atom_site_fract_y
_atom_site_fract_z
Re1 0.0000 0.0000 0.0000
Ir1 0.5000 0.5000 0.1914
Br1 0.0000 0.0000 0.5000
```